No. 1
DFT (PBE-GGA) results for a relaxed structure of BaTc2Au.

abc: 5.4986 5.4986 5.4986
angles: 133.87 133.87 67.29
Sites, in units of the cell vectors:
Tc: 0.0000 0.0000 0.0000
Tc: 0.5000 0.5000 0.0000
Au: 0.2500 0.7500 0.5000
Ba: 0.7500 0.2500 0.5000

As for the space-group type: I4/mmm. Its crystal system is tetragonal. The formation enthalpy at 0 K comes out at 1.17 eV/atom.

---

No. 2
DFT (PBE-GGA) results for a relaxed structure of LaGe2Rh4.

abc: 3.9134 7.8343 7.8343
angles: 90.00 90.00 90.00
Sites, in units of the cell vectors:
La: 0.5000 0.0000 0.0000
La: 0.0000 0.5000 0.5000
Rh: 0.0000 0.0780 0.3405
Rh: 0.5000 0.4220 0.8405
Rh: 0.0000 0.3405 0.0780
Rh: 0.0000 0.9220 0.6595
Rh: 0.0000 0.6595 0.9220
Rh: 0.5000 0.1595 0.5780
Rh: 0.5000 0.8405 0.4220
Rh: 0.5000 0.5780 0.1595
Ge: 0.0000 0.7737 0.2263
Ge: 0.5000 0.7263 0.7263
Ge: 0.5000 0.2737 0.2737
Ge: 0.0000 0.2263 0.7737

As for the space-group type: P4_2/mnm. Its crystal system is tetragonal. The formation enthalpy at 0 K comes out at -0.70 eV/atom.

---

No. 3
DFT (PBE-GGA) results for a relaxed structure of Rb2PaNbN4.

abc: 3.4275 5.8963 6.9909
angles: 105.98 90.00 90.00
Sites, in units of the cell vectors:
Pa: 0.5000 0.5000 0.0000
Nb: 0.0000 0.0000 0.0000
N: 0.5000 0.7903 0.8416
N: 0.5000 0.2097 0.1584
N: 0.0000 0.2621 0.8414
N: 0.0000 0.7379 0.1586
Rb: 0.5000 0.0000 0.5000
Rb: 0.0000 0.5000 0.5000

As for the space-group type: P2/m. For the raw formation energy, the calculation gives -0.82 eV/atom. Its crystal system is monoclinic.

---

No. 4
DFT (PBE-GGA) results for a relaxed structure of ZnTeRu.

abc: 6.5555 6.5555 3.1315
angles: 76.18 76.18 27.64
Sites, in units of the cell vectors:
Te: 0.3735 0.3735 0.6265
Zn: 0.6267 0.6267 0.3733
Ru: 0.9998 0.9998 0.0002

As for the space-group type: I4mm. For the raw formation energy, the calculation gives 0.10 eV/atom. Its crystal system is tetragonal.

---

No. 5
DFT (PBE-GGA) results for a relaxed structure of Li3Y2ZrS6.

abc: 6.6067 6.6067 6.5725
angles: 99.65 99.65 119.99
Sites, in units of the cell vectors:
S: 0.0847 0.4050 0.2529
S: 0.2375 0.2375 0.7499
S: 0.9153 0.5950 0.7471
S: 0.5950 0.9153 0.7471
S: 0.4050 0.0847 0.2529
S: 0.7625 0.7625 0.2501
Y: 0.3328 0.6672 0.0000
Y: 0.6672 0.3328 0.0000
Li: 0.8370 0.1630 0.5000
Li: 0.5000 0.5000 0.5000
Li: 0.1630 0.8370 0.5000
Zr: 0.0000 0.0000 0.0000

As for the space-group type: C2/m. For the raw formation energy, the calculation gives -1.72 eV/atom. Its crystal system is monoclinic.

---

No. 6
DFT (PBE-GGA) results for a relaxed structure of La8SmTl2.

abc: 5.2836 9.1097 9.5996
angles: 118.33 105.97 90.00
Sites, in units of the cell vectors:
La: 0.3393 0.5593 0.6785
La: 0.8528 0.8528 0.7056
La: 0.3393 0.1191 0.6786
La: 0.6607 0.8809 0.3214
La: 0.0000 0.6749 0.9999
La: 0.1472 0.1472 0.2944
La: 0.0000 0.3251 0.0001
La: 0.6607 0.4407 0.3215
Sm: 0.5000 0.0000 0.0000
Tl: 0.1945 0.6946 0.3890
Tl: 0.8055 0.3054 0.6110

As for the space-group type: Immm. Its crystal system is orthorhombic. The formation enthalpy at 0 K comes out at -0.10 eV/atom.

---

No. 7
DFT (PBE-GGA) results for a relaxed structure of LiThZnGa.

abc: 4.9422 4.9422 4.9422
angles: 60.00 60.00 60.00
Sites, in units of the cell vectors:
Ga: 0.7500 0.7500 0.7500
Li: 0.5000 0.5000 0.5000
Zn: 0.2500 0.2500 0.2500
Th: 0.0000 0.0000 0.0000

As for the space-group type: F-43m. Its crystal system is cubic. The formation enthalpy at 0 K comes out at -0.26 eV/atom.

---

No. 8
DFT (PBE-GGA) results for a relaxed structure of LiLuInOs.

abc: 4.7075 4.7075 4.7075
angles: 60.00 60.00 60.00
Sites, in units of the cell vectors:
Li: 0.0000 0.0000 0.0000
Lu: 0.2500 0.2500 0.2500
Os: 0.5000 0.5000 0.5000
In: 0.7500 0.7500 0.7500

As for the space-group type: F-43m. Its crystal system is cubic. The formation enthalpy at 0 K comes out at -0.18 eV/atom.

---

No. 9
DFT (PBE-GGA) results for a relaxed structure of LuZrCo2.

abc: 3.2155 3.2155 6.4860
angles: 90.00 90.00 90.00
Sites, in units of the cell vectors:
Lu: 0.5000 0.5000 0.5000
Co: 0.0000 0.0000 0.2302
Co: 0.0000 0.0000 0.7698
Zr: 0.5000 0.5000 0.0000

As for the space-group type: P4/mmm. Its crystal system is tetragonal. The formation enthalpy at 0 K comes out at -0.30 eV/atom.

---

No. 10
DFT (PBE-GGA) results for a relaxed structure of Na2In3Hg2.

abc: 5.0809 5.0809 8.8518
angles: 90.24 106.48 119.91
Sites, in units of the cell vectors:
In: 0.6558 0.8276 0.4834
In: 0.3442 0.1724 0.5166
In: 0.0000 0.0000 0.0000
Hg: 0.5874 0.2940 0.8814
Hg: 0.4126 0.7060 0.1186
Na: 0.1512 0.5758 0.7270
Na: 0.8488 0.4242 0.2730

As for the space-group type: C2/m. Its crystal system is monoclinic. The formation enthalpy at 0 K comes out at -0.15 eV/atom.

---

No. 11
DFT (PBE-GGA) results for a relaxed structure of LiFe.

abc: 4.7258 4.7258 4.7258
angles: 30.27 30.27 30.27
Sites, in units of the cell vectors:
Li: 0.5000 0.5000 0.5000
Fe: 0.0000 0.0000 0.0000

As for the space-group type: R-3m. Its crystal system is trigonal. The formation enthalpy at 0 K comes out at 0.25 eV/atom.

---

No. 12
DFT (PBE-GGA) results for a relaxed structure of CuGeS2.

abc: 7.2804 7.2804 7.2804
angles: 29.93 29.93 29.93
Sites, in units of the cell vectors:
Cu: 0.0000 0.0000 0.0000
S: 0.1017 0.1017 0.1017
S: 0.8983 0.8983 0.8983
Ge: 0.5000 0.5000 0.5000

As for the space-group type: R-3m. For the raw formation energy, the calculation gives -0.10 eV/atom. Its crystal system is trigonal.

---

No. 13
DFT (PBE-GGA) results for a relaxed structure of CsTl3Cl.

abc: 6.9110 6.9110 6.9110
angles: 90.00 90.00 90.00
Sites, in units of the cell vectors:
Tl: 0.0000 0.5000 0.0000
Tl: 0.5000 0.0000 0.0000
Tl: 0.0000 0.0000 0.5000
Cs: 0.0000 0.0000 0.0000
Cl: 0.5000 0.5000 0.5000

As for the space-group type: Pm-3m. For the raw formation energy, the calculation gives 0.49 eV/atom. Its crystal system is cubic.

---

No. 14
DFT (PBE-GGA) results for a relaxed structure of Nd5Sm.

abc: 5.1927 5.1903 8.2187
angles: 108.41 90.00 90.00
Sites, in units of the cell vectors:
Nd: 0.5000 0.5000 0.0000
Nd: 0.5000 0.1665 0.3329
Nd: 0.0000 0.6662 0.3324
Nd: 0.5000 0.8335 0.6671
Nd: 0.0000 0.3338 0.6676
Sm: 0.0000 0.0000 0.0000

As for the space-group type: Cmmm. Its crystal system is orthorhombic. The formation enthalpy at 0 K comes out at 0.01 eV/atom.

---

No. 15
DFT (PBE-GGA) results for a relaxed structure of Ac2ScSn6.

abc: 7.1880 7.1880 7.1895
angles: 60.01 60.01 60.01
Sites, in units of the cell vectors:
Sn: 0.2178 0.7823 0.7822
Sn: 0.7823 0.2178 0.7822
Sn: 0.7823 0.7823 0.2175
Sn: 0.2177 0.2177 0.7825
Sn: 0.2177 0.7822 0.2178
Sn: 0.7822 0.2177 0.2178
Ac: 0.7500 0.7500 0.7500
Ac: 0.2500 0.2500 0.2500
Sc: 0.5000 0.5000 0.5000

As for the space-group type: Fm-3m. Its crystal system is cubic. The formation enthalpy at 0 K comes out at -0.51 eV/atom.

---

No. 16
DFT (PBE-GGA) results for a relaxed structure of B2C.

abc: 2.5859 2.2830 13.9459
angles: 90.00 90.00 90.00
Sites, in units of the cell vectors:
C: 0.0000 0.5000 0.0840
C: 0.5000 0.5000 0.4828
C: 0.5000 0.0000 0.2456
C: 0.0000 0.0000 0.0213
B: 0.5000 0.5000 0.8466
B: 0.0000 0.0000 0.6594
B: 0.5000 0.5000 0.1591
B: 0.5000 0.0000 0.5690
B: 0.5000 0.0000 0.9465
B: 0.0000 0.5000 0.4151
B: 0.0000 0.0000 0.3128
B: 0.0000 0.5000 0.7578

As for the space-group type: Pmm2. Its crystal system is orthorhombic. The formation enthalpy at 0 K comes out at 0.41 eV/atom.

---

No. 17
DFT (PBE-GGA) results for a relaxed structure of Ac6Ir2Pt3Cl.

abc: 4.3503 8.9208 9.7726
angles: 102.87 102.86 90.00
Sites, in units of the cell vectors:
Pt: 0.1592 0.8341 0.3184
Pt: 0.8408 0.1659 0.6816
Pt: 0.5000 0.5000 0.0000
Ac: 0.9934 0.7295 0.9867
Ac: 0.3244 0.9025 0.6489
Ac: 0.6680 0.5759 0.3361
Ac: 0.6756 0.0975 0.3511
Ac: 0.0066 0.2705 0.0133
Ac: 0.3320 0.4241 0.6639
Ir: 0.1643 0.3272 0.3286
Ir: 0.8357 0.6728 0.6714
Cl: 0.5000 0.0000 0.0000

As for the space-group type: C2/m. For the raw formation energy, the calculation gives -1.08 eV/atom. Its crystal system is monoclinic.

---

No. 18
DFT (PBE-GGA) results for a relaxed structure of CsCe2Nd2O7.

abc: 4.7385 4.7408 10.4866
angles: 103.06 103.06 90.00
Sites, in units of the cell vectors:
O: 0.7308 0.7308 0.4616
O: 0.6305 0.1305 0.2610
O: 0.3695 0.8695 0.7390
O: 0.5000 0.5000 0.0000
O: 0.8693 0.3693 0.7386
O: 0.2692 0.2692 0.5384
O: 0.1306 0.6306 0.2613
Ce: 0.3907 0.3906 0.7814
Ce: 0.6093 0.6093 0.2186
Nd: 0.2501 0.7501 0.5002
Nd: 0.7499 0.2499 0.4998
Cs: 0.0000 0.0000 0.0000

As for the space-group type: I4/mmm. For the raw formation energy, the calculation gives -2.99 eV/atom. Its crystal system is tetragonal.

---

No. 19
DFT (PBE-GGA) results for a relaxed structure of Be2CS.

abc: 4.0070 4.0070 6.0334
angles: 70.61 70.61 90.00
Sites, in units of the cell vectors:
Be: 0.3750 0.4573 0.7500
Be: 0.2073 0.6250 0.2500
Be: 0.8750 0.7927 0.7500
Be: 0.5427 0.1250 0.2500
C: 0.2500 0.7500 0.5000
C: 0.5000 0.5000 0.0000
S: 0.7500 0.2500 0.5000
S: 0.0000 0.0000 0.0000

As for the space-group type: I-42d. For the raw formation energy, the calculation gives 0.25 eV/atom. Its crystal system is tetragonal.

---

No. 20
DFT (PBE-GGA) results for a relaxed structure of PrEuZnIn.

abc: 5.4394 5.4394 5.4394
angles: 60.00 60.00 60.00
Sites, in units of the cell vectors:
In: 0.5000 0.5000 0.5000
Zn: 0.0000 0.0000 0.0000
Eu: 0.2500 0.2500 0.2500
Pr: 0.7500 0.7500 0.7500

As for the space-group type: F-43m. Its crystal system is cubic. The formation enthalpy at 0 K comes out at -0.36 eV/atom.

---

no.,volume (Å³ per atom)
1,21.24
2,17.16
3,16.98
4,20.17
5,19.51
6,35.12
7,21.34
8,18.44
9,16.77
10,26.72
11,11.88
12,21.27
13,66.02
14,35.03
15,29.19
16,6.86
17,30.00
18,18.60
19,10.69
20,28.45